Record 1
Entry from the Alexandria database: crystalline Sb5W4 at its relaxed geometry (PBE).

Unit cell a=7.9544 b=7.9544 c=7.9544 alpha=92.41 beta=92.41 gamma=156.31
Closest atoms and distances in Å follow each position.
Sites, in units of the cell vectors:
Sb  0.0000  0.0000  0.0000  10 Sb 3.09-3.27
Sb  0.3313  0.3313  0.6626  6 Sb 3.01-3.27, 4 W 3.28
Sb  0.3313  0.6687  0.0000  6 Sb 3.01-3.27, 4 W 3.28
Sb  0.6687  0.3313  0.0000  6 Sb 3.01-3.27, 4 W 3.28
Sb  0.6687  0.6687  0.3374  6 Sb 3.01-3.27, 4 W 3.28
W  0.0000  0.3650  0.3650  5 W 2.66-2.97
W  0.0000  0.6350  0.6350  5 W 2.66-2.97
W  0.3650  0.0000  0.3650  5 W 2.66-2.97
W  0.6350  0.0000  0.6350  5 W 2.66-2.97

Values from the calculation:
total energy	-65.9	eV/f.u.
calculated volume	197.9	Å³/cell
energy above the most stable polymorph in this dataset	0.000	eV per atom
formation energy without anion corrections	0.720	eV per atom



Record 2
Entry from the Alexandria database: crystalline NaLiCrN3 at its relaxed geometry (PBE).

Unit cell a=5.6587 b=5.6587 c=5.1212 alpha=94.96 beta=94.96 gamma=122.72
Closest atoms and distances in Å follow each position.
Sites, in units of the cell vectors:
Na  0.2325  0.7675  0.7500  8 N 2.61-2.78
Na  0.7675  0.2325  0.2500  8 N 2.61-2.78
Li  0.0724  0.9276  0.2500  5 N 2.08-2.10
Li  0.9276  0.0724  0.7500  5 N 2.08-2.10
Cr  0.4488  0.5512  0.2500  3 N 1.66-1.81
Cr  0.5512  0.4488  0.7500  3 N 1.66-1.81
N  0.2314  0.3053  0.5125  2 Cr 1.81-2.00
N  0.2814  0.7186  0.2500  1 Cr 1.66
N  0.3053  0.2314  0.0125  2 Cr 1.81-2.00
N  0.6947  0.7686  0.9875  2 Cr 1.81-2.00
N  0.7186  0.2814  0.7500  1 Cr 1.66
N  0.7686  0.6947  0.4875  2 Cr 1.81-2.00

Values from the calculation:
total energy	-38.6	eV/f.u.
calculated volume	135.7	Å³/cell
formation energy without anion corrections	-0.122	eV per atom



Record 3
Entry from the Alexandria database: crystalline MgMnZn3 at its relaxed geometry (PBE).

Unit cell a=4.7276 b=4.7276 c=4.7276 alpha=90.00 beta=90.00 gamma=90.00
Closest atoms and distances in Å follow each position.
Sites, in units of the cell vectors:
Mg  0.0000  0.0000  0.0000  12 Zn 3.34
Mn  0.5000  0.5000  0.5000  6 Zn 2.36
Zn  0.0000  0.5000  0.5000  2 Mn 2.36
Zn  0.5000  0.0000  0.5000  2 Mn 2.36
Zn  0.5000  0.5000  0.0000  2 Mn 2.36

Values from the calculation:
total energy	-12.0	eV/f.u.
calculated volume	105.7	Å³/cell
energy above the most stable polymorph in this dataset	0.000	eV per atom
energy of formation from the pure elements	2.62	eV/f.u.



Record 4
Entry from the Alexandria database: crystalline Sr2CdSi at its relaxed geometry (PBE).

Unit cell a=5.4054 b=3.9048 c=6.5886 alpha=90.00 beta=99.23 gamma=90.00
Closest atoms and distances in Å follow each position.
Sites, in units of the cell vectors:
Sr  0.0000  0.0000  0.0000  2 Cd 3.29, 4 Si 3.33
Sr  0.5000  0.5000  0.5000  2 Si 3.29, 4 Cd 3.33
Cd  0.0000  0.0000  0.5000  6 Sr 3.29-3.33
Si  0.5000  0.5000  0.0000  6 Sr 3.29-3.33

Values from the calculation:
total energy	-9.8	eV/f.u.
calculated volume	137.3	Å³/cell
formation energy without anion corrections	-0.027	eV per atom



Record 5
Entry from the Alexandria database: crystalline Sc2BeW at its relaxed geometry (PBE).

Unit cell a=2.9574 b=3.5172 c=6.6943 alpha=90.00 beta=90.00 gamma=90.00
Closest atoms and distances in Å follow each position.
Sites, in units of the cell vectors:
Sc  0.0000  0.0000  0.2383  4 Be 2.80, 4 W 2.89, 2 Sc 2.96
Sc  0.0000  0.0000  0.7617  4 Be 2.80, 4 W 2.89, 2 Sc 2.96
Be  0.5000  0.5000  0.0000  8 Sc 2.80, 2 Be 2.96
W  0.5000  0.5000  0.5000  8 Sc 2.89, 2 W 2.96

Values from the calculation:
total energy	-28.4	eV/f.u.
calculated volume	69.6	Å³/cell
energy of formation from the pure elements	0.92	eV/f.u.



Record 6
Entry from the Alexandria database: crystalline CsK2CdAg at its relaxed geometry (PBE).

Unit cell a=6.7256 b=6.7256 c=5.6372 alpha=90.00 beta=90.00 gamma=90.00
Closest atoms and distances in Å follow each position.
Sites, in units of the cell vectors:
Cs  0.0000  0.0000  0.0000  8 K 4.39, 4 Ag 4.76
K  0.0000  0.5000  0.5000  2 Cd 3.36
K  0.5000  0.0000  0.5000  2 Cd 3.36
Cd  0.5000  0.5000  0.5000  2 Ag 2.82
Ag  0.5000  0.5000  0.0000  2 Cd 2.82

Values from the calculation:
total energy	-6.3	eV/f.u.
calculated volume	255.0	Å³/cell
energy above the most stable polymorph in this dataset	0.061	eV per atom
energy of formation from the pure elements	0.51	eV/f.u.